(1)
Ag2SnMoO | GGA+U | optimized geometry

Calculated total energy = -3.9797 eV/atom
Total magnetic moment = 4.13 μB per cell

a b c (Å): 4.4697 4.8946 4.4697
angles (deg): 90.00 90.00 90.00
Last column: nearest neighbours and their distance in Å.
Fractional positions:
O (0.0000, 0.0000, 0.0000)  4 Ag 2.23, 2 Sn 2.45
Mo (0.5000, 0.5000, 0.5000)  4 Sn 3.16, 8 Ag 3.31
Sn (0.0000, 0.5000, 0.0000)  2 O 2.45
Ag (0.0000, 0.0000, 0.5000)  2 O 2.23
Ag (0.5000, 0.0000, 0.0000)  2 O 2.23

***

(2)
SrLi2MoF8 | GGA+U | optimized geometry

Calculated total energy = -5.2888 eV/atom
Total magnetic moment = 2.00 μB per cell

a b c (Å): 4.7626 4.9794 7.2895
angles (deg): 85.60 85.84 82.21
Last column: nearest neighbours and their distance in Å.
Fractional positions:
Sr (0.0000, 0.0000, 0.5000)  6 F 2.38-2.53
Li (0.4732, 0.4671, 0.7040)  4 F 1.94-2.02
Li (0.5268, 0.5329, 0.2960)  4 F 1.94-2.02
Mo (0.0000, 0.0000, 0.0000)  6 F 1.95-2.06
F (0.1996, 0.7832, 0.2176)  1 Li 1.95, 1 Mo 2.06
F (0.7184, 0.7472, 0.0387)  1 Mo 1.95
F (0.8023, 0.2188, 0.2034)  1 Mo 2.01, 1 Li 2.02
F (0.8004, 0.2168, 0.7824)  1 Li 1.95, 1 Mo 2.06
F (0.2816, 0.2528, 0.9613)  1 Mo 1.95
F (0.1977, 0.7812, 0.7966)  1 Mo 2.01, 1 Li 2.02
F (0.6547, 0.6943, 0.5039)  2 Li 1.94-2.00
F (0.3453, 0.3057, 0.4961)  2 Li 1.94-2.00